Compound: PmBS3
Source: Alexandria via LeMat-Bulk
Functional: PBE
Structure: relaxed

ΔE to the lowest computed polymorph = 0.00 eV/f.u.

Lattice parameters (Å, degrees): 7.5374 6.0257 8.9171 90.00 90.00 90.00
Fractional positions:
Pm: 0.1167 0.0670 0.0000
Pm: 0.3833 0.5670 0.5000
Pm: 0.6167 0.4330 0.0000
Pm: 0.8833 0.9330 0.5000
B: 0.1454 0.5987 0.1705
B: 0.3546 0.0987 0.6705
B: 0.6454 0.9013 0.1705
B: 0.8546 0.4013 0.6705
S: 0.0011 0.3958 0.5103
S: 0.1730 0.8347 0.2965
S: 0.2035 0.8659 0.7002
S: 0.2965 0.3659 0.2002
S: 0.3270 0.3347 0.7965
S: 0.4989 0.8958 0.0103
S: 0.5011 0.1042 0.5103
S: 0.6730 0.6653 0.2965
S: 0.7035 0.6341 0.7002
S: 0.7965 0.1341 0.2002
S: 0.8270 0.1653 0.7965
S: 0.9989 0.6042 0.0103